1.
{
  "formula": "Sm2HfCuS5",
  "functional": "PBE",
  "state": "relaxed",
  "formation_energy_uncorrected_ev_per_fu": -14.5,
  "magmom_total_mub_per_atom": 0.000,
  "sg": "Cmc2_1",
  "final_energy_ev_per_atom": -6.512,
  "crystal_system": "orthorhombic",
  "volume_a3_per_atom": 19.941,
  "lattice": [[1.8874, -8.2175, 0.0000], [1.8874, 8.2175, 0.0000], [0.0000, 0.0000, 11.5712]],
  "species": ["Sm", "Sm", "Sm", "Sm", "Hf", "Hf", "Cu", "Cu", "S", "S", "S", "S", "S", "S", "S", "S", "S", "S"],
  "fractional_positions": [[0.1143, 0.8857, 0.5000], [0.1255, 0.8745, 0.1283], [0.8745, 0.1255, 0.6283], [0.8857, 0.1143, 0.0000], [0.1881, 0.8119, 0.8242], [0.8119, 0.1881, 0.3242], [0.4387, 0.5613, 0.2455], [0.5613, 0.4387, 0.7455], [0.0409, 0.9591, 0.8523], [0.2927, 0.7073, 0.4780], [0.3063, 0.6937, 0.1674], [0.3487, 0.6513, 0.8170], [0.4951, 0.5049, 0.5748], [0.5049, 0.4951, 0.0748], [0.6513, 0.3487, 0.3170], [0.6937, 0.3063, 0.6674], [0.7073, 0.2927, 0.9780], [0.9591, 0.0409, 0.3523]]
}

***

2.
{
  "formula": "HfCuSnS4",
  "functional": "PBE",
  "state": "relaxed",
  "formation_energy_uncorrected_ev_per_fu": -5.9,
  "magmom_total_mub_per_atom": 0.000,
  "sg": "Imma",
  "final_energy_ev_per_atom": -5.778,
  "crystal_system": "orthorhombic",
  "volume_a3_per_atom": 21.375,
  "lattice": [[-3.6904, 3.7421, 5.4173], [3.6904, -3.7421, 5.4173], [3.6904, 3.7421, -5.4173]],
  "species": ["Hf", "Hf", "Cu", "Cu", "Sn", "Sn", "S", "S", "S", "S", "S", "S", "S", "S"],
  "fractional_positions": [[0.5000, 0.0000, 0.0000], [0.5000, 0.5000, 0.5000], [0.1269, 0.3769, 0.7500], [0.8731, 0.6231, 0.2500], [0.0000, 0.0000, 0.0000], [0.5000, 0.0000, 0.5000], [0.2589, 0.2496, 0.0093], [0.2597, 0.7504, 0.5093], [0.2656, 0.2760, 0.5104], [0.2656, 0.7553, 0.9896], [0.7344, 0.2447, 0.0104], [0.7344, 0.7240, 0.4896], [0.7403, 0.2496, 0.4907], [0.7411, 0.7504, 0.9907]]
}

***

3.
{
  "formula": "HfCuSn2S5",
  "functional": "PBE",
  "state": "relaxed",
  "formation_energy_uncorrected_ev_per_fu": -6.5,
  "magmom_total_mub_per_atom": 0.000,
  "sg": "Cmc2_1",
  "final_energy_ev_per_atom": -5.462,
  "crystal_system": "orthorhombic",
  "volume_a3_per_atom": 21.678,
  "lattice": [[1.8554, -8.2722, 0.0000], [1.8554, 8.2722, 0.0000], [0.0000, 0.0000, 12.7120]],
  "species": ["Hf", "Hf", "Cu", "Cu", "Sn", "Sn", "Sn", "Sn", "S", "S", "S", "S", "S", "S", "S", "S", "S", "S"],
  "fractional_positions": [[0.1943, 0.8057, 0.5000], [0.8057, 0.1943, 0.0000], [0.4338, 0.5662, 0.9135], [0.5662, 0.4338, 0.4135], [0.1078, 0.8922, 0.1246], [0.1126, 0.8874, 0.7818], [0.8874, 0.1126, 0.2818], [0.8922, 0.1078, 0.6246], [0.0441, 0.9559, 0.5168], [0.2854, 0.7146, 0.1424], [0.2985, 0.7015, 0.8658], [0.3530, 0.6470, 0.4859], [0.4980, 0.5020, 0.7541], [0.5020, 0.4980, 0.2541], [0.6470, 0.3530, 0.9859], [0.7015, 0.2985, 0.3658], [0.7146, 0.2854, 0.6424], [0.9559, 0.0441, 0.0168]]
}